DFT (PBE) results for a relaxed Rb2PdPtCl6 crystal.

Geometry as POSCAR:
```
Rb2PdPtCl6
1.0
7.1035 0.0000 0.0000
3.5517 6.1518 0.0000
3.5517 2.0506 12.1105
Cl Pt Rb Pd
12 2 4 2
Cartesian
8.8222 3.1089 4.6359
8.9143 3.0557 10.6595
8.8222 5.0935 7.4746
7.1035 2.0102 1.4510
5.2926 5.1467 1.4510
7.1035 6.1922 10.6595
5.3848 3.1089 4.6359
8.9143 5.1467 1.4510
5.2926 3.0557 10.6595
7.1035 6.0858 4.6359
7.1035 2.1166 7.4746
5.3848 5.0935 7.4746
0.0000 0.0000 0.0000
7.1035 4.1012 6.0553
3.5517 2.0506 1.3154
3.5517 2.0506 7.7355
10.6552 6.1518 10.7951
10.6552 6.1518 4.3750
7.1035 4.1012 2.8724
7.1035 4.1012 9.2381
```



DFT (PBE) results for a relaxed PdPtSCl2 crystal.

Geometry as POSCAR:
```
PdPtSCl2
1.0
-2.2768 1.2089 4.2487
-3.5429 -3.3545 -0.9442
2.4114 -3.1639 2.1925
Cl Pd Pt S
2 1 1 1
Cartesian
-1.1384 0.6044 2.1243
-1.7715 -1.6772 -0.4721
-1.7042 -2.6548 2.7485
0.0000 0.0000 0.0000
1.2057 -1.5820 1.0962
```



DFT (PBE) results for a relaxed PdPtSCl2 crystal.

Geometry as POSCAR:
```
PdPtSCl2
1.0
4.7097 0.0000 0.0000
0.0000 4.7097 0.0000
0.0000 0.0000 4.8272
Cl S Pd Pt
2 1 1 1
Cartesian
2.3549 0.0000 0.0000
0.0000 2.3549 0.0000
0.0000 0.0000 2.4136
0.0000 0.0000 0.0000
2.3549 2.3549 2.4136
```



DFT (PBE) results for a relaxed TePdPt2Cl crystal.

Geometry as POSCAR:
```
TePdPt2Cl
1.0
-0.8583 2.1082 4.1140
0.5927 -3.9937 2.1702
4.5825 0.9383 0.4753
Cl Te Pt Pd
1 1 2 1
Cartesian
0.0000 0.0000 0.0000
2.1584 -0.4736 3.3797
2.2913 0.4692 0.2376
-0.4292 1.0541 2.0570
0.2963 -1.9969 1.0851
```



DFT (PBE) results for a relaxed Tl2PdPtCl6 crystal.

Geometry as POSCAR:
```
Tl2PdPtCl6
1.0
7.0205 0.0000 0.0000
0.0000 7.0215 0.0000
0.0000 0.0000 10.0380
Pd Cl Tl Pt
2 12 4 2
Cartesian
3.5102 1.7574 0.0000
0.0000 5.2640 5.0190
1.7289 3.5394 0.0000
0.0000 5.2680 2.4419
5.2403 0.0268 5.0190
1.7301 6.9947 0.0000
1.7813 3.4820 5.0190
3.5102 1.7534 2.5771
3.5102 1.7534 7.4609
1.7802 0.0268 5.0190
0.0000 5.2680 7.5961
5.2904 6.9947 0.0000
5.2916 3.5394 0.0000
5.2391 3.4820 5.0190
3.5102 5.2692 2.5008
0.0000 1.7523 7.5198
3.5102 5.2692 7.5373
0.0000 1.7523 2.5183
3.5102 1.7540 5.0190
0.0000 5.2674 0.0000
```



DFT (PBE) results for a relaxed PuPdCl6 crystal.

Geometry as POSCAR:
```
PuPdCl6
1.0
6.4500 0.0082 0.0084
3.2180 5.5893 0.0124
3.2149 1.8574 5.9190
Cl Pu Pd
6 1 1
Cartesian
8.5577 3.8181 1.4818
4.3253 3.6367 4.4579
7.4195 5.6005 4.4648
5.4635 1.8544 1.4749
7.5738 1.9390 4.4598
5.3092 5.5159 1.4799
6.4415 3.7274 2.9699
0.0000 0.0000 0.0000
```



DFT (PBE) results for a relaxed PuPdCl crystal.

Geometry as POSCAR:
```
PuPdCl
1.0
-3.1048 0.2648 2.2768
-1.1917 -3.4610 -1.2226
4.5602 -3.9283 6.6754
Pd Cl Pu
2 2 2
Cartesian
-2.6265 -0.6666 1.4019
-1.6700 -2.5295 -0.3478
-1.4981 -3.8825 3.3148
1.7617 -3.2419 4.4148
0.0647 -1.7801 1.9306
0.1990 -5.3444 5.7990
```



DFT (PBE) results for a relaxed PuPd3Cl9 crystal.

Geometry as POSCAR:
```
PuPd3Cl9
1.0
6.9091 0.0000 2.9074
3.0494 9.6930 2.4166
-0.6623 -0.1229 11.2371
Pu Pd Cl
2 6 18
Cartesian
8.2686 5.0932 4.1158
3.2388 0.1852 7.1904
4.8045 3.8227 6.3273
7.6232 3.8741 10.6871
3.9177 2.5023 10.6687
7.1289 8.6077 13.6300
2.7033 8.7821 3.4256
5.3070 7.4103 6.0622
4.5820 9.2323 4.8466
1.0367 1.3930 7.8477
6.4422 7.8774 11.4703
7.0841 3.7885 13.1545
2.4291 6.3009 3.2424
2.9908 3.5512 12.5508
5.9095 6.3919 4.0360
5.2937 4.3243 10.3373
8.2251 8.6964 8.4434
3.5580 2.1091 5.3021
6.8287 3.0924 5.3083
2.5555 0.6510 10.9928
4.9452 1.4839 8.8214
2.9127 4.6999 7.3848
7.6953 9.4849 15.7220
1.8242 6.8942 10.8971
4.6093 8.4592 8.0407
6.0277 5.5590 7.2627
```



DFT (PBE) results for a relaxed Pu2PdCl crystal.

Geometry as POSCAR:
```
Pu2PdCl
1.0
-0.1734 2.2386 -2.5223
-3.3491 -0.4107 -0.1343
-0.9362 5.9006 5.3014
Pu Cl Pd
2 1 1
Cartesian
-0.7182 4.5269 4.0672
-0.2179 1.3736 1.2341
-2.2293 3.8642 1.3224
-1.7612 0.9140 -1.3283
```



DFT (PBE) results for a relaxed Pu2PdCl crystal.

Geometry as POSCAR:
```
Pu2PdCl
1.0
-3.0870 -2.3582 0.3162
0.4387 -3.6056 1.4133
-2.1873 0.6904 7.8144
Pd Pu Cl
1 2 1
Cartesian
0.0000 0.0000 0.0000
-3.6556 -3.8958 7.3181
-1.1800 -1.3776 2.2259
-2.4178 -2.6367 4.7720
```



DFT (PBE) results for a relaxed PuPdCl6 crystal.

Geometry as POSCAR:
```
PuPdCl6
1.0
7.1109 -1.4918 0.8301
-0.9384 5.8214 3.2481
0.9844 -0.0892 6.6590
Pu Cl Pd
1 6 1
Cartesian
0.0010 0.1188 0.2054
5.4908 2.3745 5.4921
2.0139 4.5044 8.9068
5.1435 -0.0254 2.2374
1.9830 0.4813 1.9589
5.1772 3.9931 9.1879
1.6681 2.1083 5.6639
3.5564 -0.6280 0.6188
```



DFT (PBE) results for a relaxed PuPd2Cl8 crystal.

Geometry as POSCAR:
```
PuPd2Cl8
1.0
-3.9016 3.1814 -0.7470
-4.9720 -6.3035 -0.8771
1.2106 3.2022 7.3150
Cl Pd Pu
8 2 1
Cartesian
-4.2945 0.8750 0.3361
-3.3685 -0.7949 5.3548
-3.9604 -2.2799 1.6525
-6.8897 -2.4184 -0.1355
-0.7734 2.4984 5.8263
-6.2654 -0.7541 3.6914
-3.7028 2.3598 4.0381
-1.3977 0.8342 1.9994
-1.6990 0.7259 4.4218
-5.9641 -0.6460 1.2688
1.2105 3.2022 7.3149
```



DFT (PBE) results for a relaxed RbPuPdCl6 crystal.

Geometry as POSCAR:
```
RbPuPdCl6
1.0
6.6647 0.0000 0.0000
-3.3323 5.7718 0.0000
0.0000 0.0000 15.3727
Cl Pd Rb Pu
12 2 2 2
Cartesian
1.2442 2.0612 13.0792
4.4953 3.6637 13.0792
2.0881 3.7106 2.2934
1.1629 2.1081 5.3929
-0.9252 5.7248 2.2934
-1.1629 2.1081 2.2934
5.4204 2.0612 9.9798
-2.0881 3.7106 5.3929
4.2575 0.0470 13.0792
2.1694 3.6637 9.9798
2.4072 0.0470 9.9798
0.9252 5.7248 5.3929
0.0000 3.8479 3.8432
3.3323 1.9239 11.5295
0.0000 0.0000 7.6863
0.0000 0.0000 0.0000
0.0000 3.8479 11.5295
3.3323 1.9239 3.8432
```



DFT (PBE) results for a relaxed Rb2PuPdCl6 crystal.

Geometry as POSCAR:
```
Rb2PuPdCl6
1.0
-3.1479 5.8147 -3.6229
-6.5390 -1.3617 3.4962
2.8853 6.5023 7.9291
Pd Rb Pu Cl
2 4 2 12
Cartesian
-3.4592 2.2303 6.5854
-3.2111 2.5664 -0.9361
-4.3113 6.7631 6.7556
-0.9164 1.2845 2.8579
-5.7538 3.5125 2.7917
0.5263 4.5357 6.8224
-4.9084 -1.0222 2.6244
-1.7618 5.8189 3.0249
-1.0398 7.4514 5.0175
-5.6268 3.6731 -0.9646
-4.1914 6.9382 2.9911
-4.0604 0.7797 0.8381
-7.4482 6.2561 4.7356
-5.8705 3.3419 6.5513
-2.4890 4.1854 1.0350
-2.3700 4.3553 -2.7092
-4.1812 0.6114 4.6144
-2.6099 4.0170 4.8112
-0.7997 1.4548 -0.9020
-2.7452 3.8476 8.5607
```



DFT (PBE) results for a relaxed RbPdCl crystal.

Geometry as POSCAR:
```
RbPdCl
1.0
9.1621 -0.0012 -0.0135
-0.7757 3.6927 -0.0022
1.7415 0.3716 5.3557
Pd Rb Cl
2 2 2
Cartesian
7.4601 0.7196 1.7680
8.7758 2.9234 1.1837
2.5884 3.5619 3.1540
7.7389 2.7013 4.5142
1.5441 1.4076 0.6663
5.4416 2.2314 2.3207
```



DFT (PBE) results for a relaxed RbPd3Cl crystal.

Geometry as POSCAR:
```
RbPd3Cl
1.0
-0.2572 1.7987 4.9333
-5.2484 -0.2450 -0.1843
0.1668 -4.9340 1.8076
Pd Rb Cl
3 1 1
Cartesian
-0.1286 0.8994 2.4667
-2.6242 -0.1225 -0.0921
0.0834 -2.4670 0.9038
0.0000 0.0000 0.0000
-2.6694 -1.6901 3.2783
```



DFT (PBE) results for a relaxed RbPdCl3 crystal.

Geometry as POSCAR:
```
RbPdCl3
1.0
3.9834 0.0000 7.1892
-1.9917 3.4498 7.1892
-1.9917 -3.4498 7.1892
Rb Cl Pd
2 6 2
Cartesian
0.0000 0.0000 18.4170
0.0000 0.0000 3.1505
-2.0109 0.8014 8.6126
-1.6995 -1.3408 12.9548
2.0109 -0.8014 12.9548
0.3114 -2.1422 8.6126
1.6995 1.3408 8.6126
-0.3114 2.1422 12.9548
0.0000 0.0000 7.2115
0.0000 0.0000 14.3559
```



DFT (PBE) results for a relaxed RbPdCl crystal.

Geometry as POSCAR:
```
RbPdCl
1.0
-13.1380 14.1647 8.3717
-5.4861 2.7957 0.0886
2.8080 -5.4752 0.2422
Rb Pd Cl
2 2 2
Cartesian
-9.1919 7.2479 6.1506
-3.2280 0.7444 1.7551
-11.4111 9.4214 5.7892
-15.1105 13.3267 7.4730
-5.5738 2.9452 0.5896
-7.4639 5.2814 4.2116
```



DFT (PBE) results for a relaxed RbPd2Cl8 crystal.

Geometry as POSCAR:
```
RbPd2Cl8
1.0
-0.7784 -4.4786 1.9393
0.9656 -0.6635 -7.3929
8.5599 0.3501 4.2792
Cl Rb Pd
8 1 2
Cartesian
5.6134 -2.2754 -2.9346
2.6513 -4.4195 -2.7830
1.1328 -2.1047 -4.3489
7.6141 -2.6873 3.1745
6.0954 -0.3725 1.6085
3.1335 -2.5166 1.7602
2.7891 -1.2022 -1.5995
5.9579 -3.5898 0.4251
8.5598 0.3501 4.2792
3.3339 -2.1695 -3.6114
5.4129 -2.6225 2.4369
```



DFT (PBE) results for a relaxed RbPdCl2 crystal.

Geometry as POSCAR:
```
RbPdCl2
1.0
5.3854 6.6330 -1.4517
7.3598 3.2979 -3.1726
4.3093 5.3020 -5.3315
Pd Cl Rb
1 2 1
Cartesian
8.5273 7.6165 -4.9779
2.0450 1.8266 -1.1938
15.0095 13.4064 -8.7620
0.0000 0.0000 0.0000
```



| no. | energy (eV/atom) |
| --- | --- |
| 1 | -3.4081 |
| 2 | -3.3780 |
| 3 | -3.1188 |
| 4 | -3.7228 |
| 5 | -3.3301 |
| 6 | -4.9401 |
| 7 | -8.1404 |
| 8 | -4.3911 |
| 9 | -9.6332 |
| 10 | -9.5944 |
| 11 | -5.0186 |
| 12 | -4.3485 |
| 13 | -4.9263 |
| 14 | -4.8115 |
| 15 | -3.4383 |
| 16 | -2.3590 |
| 17 | -3.2597 |
| 18 | -3.4115 |
| 19 | -3.0056 |
| 20 | -2.9817 |